Density functional theory data (PBE) for crystalline TaCoMoOs at its relaxed geometry.

Values from the calculation:
Calculated formation energy, eV per atom: 0.02
Symmetry: P4mm (99)
Total energy, eV/atom: -10.23
Polymorph energy (0 for the lowest one), meV per atom: 74

a b c (Å): 3.1829 3.1829 5.8702
angles (deg): 90.00 90.00 90.00
Closest atoms and distances in Å follow each position.
Positions (direct):
Ta  0.0000  0.0000  0.0000  4 Co 2.52, 1 Os 2.74
Co  0.5000  0.5000  0.8056  4 Ta 2.52, 4 Os 2.76
Mo  0.5000  0.5000  0.3017  4 Os 2.63, 4 Ta 2.86, 1 Co 2.91
Os  0.0000  0.0000  0.5331  4 Mo 2.63, 1 Ta 2.74, 4 Co 2.76

Density functional theory data (PBE) for crystalline TaCoMoOs at its relaxed geometry.

Values from the calculation:
Calculated formation energy, eV per atom: 0.04
Symmetry: I-4m2 (119)
Total energy, eV/atom: -10.22
Polymorph energy (0 for the lowest one), meV per atom: 87

a b c (Å): 4.8741 4.8741 4.8741
angles (deg): 133.89 133.89 67.25
Closest atoms and distances in Å follow each position.
Positions (direct):
Ta  0.0000  0.0000  0.0000  4 Co 2.70, 4 Mo 2.79, 4 Os 2.79
Co  0.5000  0.5000  0.0000  4 Ta 2.70, 4 Mo 2.79, 4 Os 2.79
Mo  0.7500  0.2500  0.5000  4 Os 2.70, 4 Ta 2.79, 4 Co 2.79
Os  0.2500  0.7500  0.5000  4 Mo 2.70, 4 Ta 2.79, 4 Co 2.79

Density functional theory data (PBE) for crystalline TaCoMoOs at its relaxed geometry.

Values from the calculation:
Calculated formation energy, eV per atom: -0.02
Symmetry: P2/m (10)
Total energy, eV/atom: -10.27
Polymorph energy (0 for the lowest one), meV per atom: 36

a b c (Å): 4.6289 2.8691 4.6320
angles (deg): 90.00 105.59 90.00
Closest atoms and distances in Å follow each position.
Positions (direct):
Ta  0.0000  0.0000  0.0000  4 Co 2.72, 4 Os 2.72, 2 Mo 2.80, 2 Ta 2.87
Co  0.5000  0.5000  0.0000  4 Ta 2.72, 4 Mo 2.72, 2 Os 2.80, 2 Co 2.87
Mo  0.5000  0.0000  0.5000  4 Os 2.72, 4 Co 2.72, 2 Ta 2.80, 2 Mo 2.87
Os  0.0000  0.5000  0.5000  4 Mo 2.72, 4 Ta 2.72, 2 Co 2.80, 2 Os 2.87

Density functional theory data (PBE) for crystalline TaCoMoOs at its relaxed geometry.

Values from the calculation:
Calculated formation energy, eV per atom: 0.02
Symmetry: P1 (1)
Total energy, eV/atom: -10.24
Polymorph energy (0 for the lowest one), meV per atom: 71

a b c (Å): 2.7712 4.8098 5.1163
angles (deg): 115.40 102.06 95.18
Closest atoms and distances in Å follow each position.
Positions (direct):
Ta  0.0000  0.0000  0.0000  3 Co 2.62-2.75, 2 Os 2.66-2.69, 2 Mo 2.67-2.71, 2 Ta 2.77
Co  0.3775  0.5078  0.9792  3 Os 2.57-2.87, 3 Ta 2.62-2.75, 3 Mo 2.65-2.76, 2 Co 2.77
Mo  0.0462  0.5594  0.4583  3 Co 2.65-2.76, 2 Ta 2.67-2.71, 4 Os 2.68-2.93, 2 Mo 2.77
Os  0.5863  0.0867  0.5240  3 Co 2.57-2.87, 2 Ta 2.66-2.69, 3 Mo 2.68-2.86, 2 Os 2.77

Density functional theory data (PBE) for crystalline TaCoMoOs2 at its relaxed geometry.

Values from the calculation:
Calculated formation energy, eV per atom: 2.45
Symmetry: P4/mmm (123)
Total energy, eV/atom: -8.00

a b c (Å): 4.6986 4.6986 4.6897
angles (deg): 90.00 90.00 90.00
Closest atoms and distances in Å follow each position.
Positions (direct):
Ta  0.0000  0.0000  0.0000  2 Mo 2.34, 4 Os 2.35
Co  0.5000  0.5000  0.5000  8 Os 3.32, 4 Mo 3.32
Mo  0.0000  0.0000  0.5000  2 Ta 2.34
Os  0.0000  0.5000  0.0000  2 Ta 2.35
Os  0.5000  0.0000  0.0000  2 Ta 2.35

Density functional theory data (PBE) for crystalline Co2TeMoOs at its relaxed geometry.

Values from the calculation:
Symmetry: P4/mmm (123)
Total energy, eV/atom: -6.52
Uncorrected formation energy, eV per atom: 1.361

a b c (Å): 4.5675 4.5675 4.7786
angles (deg): 90.00 90.00 90.00
Closest atoms and distances in Å follow each position.
Positions (direct):
Co  0.0000  0.5000  0.0000  2 Os 2.28
Co  0.5000  0.0000  0.0000  2 Os 2.28
Te  0.0000  0.0000  0.5000  4 Mo 3.23, 8 Co 3.31
Mo  0.5000  0.5000  0.5000  2 Os 2.39
Os  0.5000  0.5000  0.0000  4 Co 2.28, 2 Mo 2.39

Density functional theory data (PBE) for crystalline Y2CoMoOs at its relaxed geometry.

Values from the calculation:
Calculated formation energy, eV per atom: 0.81
Symmetry: P4/mmm (123)
Total energy, eV/atom: -7.61

a b c (Å): 5.0702 5.0702 4.4201
angles (deg): 90.00 90.00 90.00
Closest atoms and distances in Å follow each position.
Positions (direct):
Y  0.0000  0.5000  0.0000  2 Co 2.54
Y  0.5000  0.0000  0.0000  2 Co 2.54
Co  0.0000  0.0000  0.0000  2 Os 2.21
Mo  0.5000  0.5000  0.5000  8 Y 3.36, 4 Os 3.59
Os  0.0000  0.0000  0.5000  2 Co 2.21

Density functional theory data (PBE) for crystalline CoMoP at its relaxed geometry.

Values from the calculation:
Calculated formation energy, eV per atom: -0.19
Symmetry: Pnma (62)
Total energy, eV/atom: -7.97

a b c (Å): 5.8929 4.2580 6.3237
angles (deg): 90.00 90.00 90.00
Closest atoms and distances in Å follow each position.
Positions (direct):
Co  0.1282  0.2500  0.0448  3 P 2.23-2.43
Co  0.3718  0.7500  0.5448  3 P 2.23-2.43
Co  0.6282  0.2500  0.4552  3 P 2.23-2.43
Co  0.8718  0.7500  0.9552  3 P 2.23-2.43
Mo  0.1196  0.2500  0.4440  4 P 2.39-2.53, 3 Co 2.53-2.67, 2 Mo 2.65
Mo  0.3804  0.7500  0.9440  4 P 2.39-2.53, 3 Co 2.53-2.67, 2 Mo 2.65
Mo  0.6196  0.2500  0.0560  4 P 2.39-2.53, 3 Co 2.53-2.67, 2 Mo 2.65
Mo  0.8804  0.7500  0.5560  4 P 2.39-2.53, 3 Co 2.53-2.67, 2 Mo 2.65
P  0.1123  0.7500  0.2284  3 Co 2.23-2.43, 2 Mo 2.39-2.48
P  0.3877  0.2500  0.7284  3 Co 2.23-2.43, 2 Mo 2.39-2.48
P  0.6123  0.7500  0.2716  3 Co 2.23-2.43, 2 Mo 2.39-2.48
P  0.8877  0.2500  0.7716  3 Co 2.23-2.43, 2 Mo 2.39-2.48

Density functional theory data (PBE) for crystalline CoMoP2 at its relaxed geometry.

Values from the calculation:
Calculated formation energy, eV per atom: -0.27
Symmetry: Pmm2 (25)
Total energy, eV/atom: -7.46

a b c (Å): 2.9335 4.3932 4.0125
angles (deg): 90.00 90.00 90.00
Closest atoms and distances in Å follow each position.
Positions (direct):
Co  0.0000  0.0000  0.0000  6 P 2.37-2.58
Mo  0.5000  0.5000  0.7342  6 P 2.44-2.53
P  0.0000  0.5000  0.2215  2 Co 2.37, 4 Mo 2.44-2.53
P  0.5000  0.0000  0.4723  4 Co 2.40-2.58, 2 Mo 2.44

Density functional theory data (PBE) for crystalline CoMo2P at its relaxed geometry.

Values from the calculation:
Calculated formation energy, eV per atom: -0.13
Symmetry: P4/mmm (123)
Total energy, eV/atom: -8.68

a b c (Å): 2.8724 2.8724 6.4562
angles (deg): 90.00 90.00 90.00
Closest atoms and distances in Å follow each position.
Positions (direct):
Co  0.0000  0.0000  0.0000  8 Mo 2.66, 4 Co 2.87
Mo  0.5000  0.5000  0.2652  4 P 2.53, 4 Co 2.66
Mo  0.5000  0.5000  0.7348  4 P 2.53, 4 Co 2.66
P  0.0000  0.0000  0.5000  8 Mo 2.53

Density functional theory data (PBE) for crystalline CoMo2P at its relaxed geometry.

Values from the calculation:
Calculated formation energy, eV per atom: -0.04
Symmetry: Immm (71)
Total energy, eV/atom: -8.58

a b c (Å): 4.7466 4.7466 4.7466
angles (deg): 139.18 128.73 67.51
Closest atoms and distances in Å follow each position.
Positions (direct):
Co  0.0000  0.0000  0.0000  4 P 2.64, 8 Mo 2.64-2.79
Mo  0.2607  0.7607  0.5000  2 P 2.51, 4 Co 2.64-2.79, 4 Mo 2.64
Mo  0.7393  0.2393  0.5000  2 P 2.51, 4 Co 2.64-2.79, 4 Mo 2.64
P  0.5000  0.5000  0.0000  4 Mo 2.51, 4 Co 2.64

Density functional theory data (PBE) for crystalline CoMoP at its relaxed geometry.

Values from the calculation:
Calculated formation energy, eV per atom: -0.16
Symmetry: Imm2 (44)
Total energy, eV/atom: -7.94

a b c (Å): 4.9838 4.9838 4.9838
angles (deg): 148.36 144.83 48.02
Closest atoms and distances in Å follow each position.
Positions (direct):
Co  0.0000  0.0000  0.0000  4 P 2.31
Mo  0.6997  0.6997  0.0000  4 P 2.60, 2 Mo 2.72, 5 Co 2.72-2.73
P  0.3788  0.3788  0.0000  4 Co 2.31

Density functional theory data (PBE) for crystalline CoMoP2 at its relaxed geometry.

Values from the calculation:
Calculated formation energy, eV per atom: 0.09
Symmetry: Cmmm (65)
Total energy, eV/atom: -7.10

a b c (Å): 2.8683 2.8683 6.9112
angles (deg): 90.00 90.00 111.52
Closest atoms and distances in Å follow each position.
Positions (direct):
Co  0.0000  0.0000  0.0000  4 P 2.26
Mo  0.0000  0.0000  0.5000  4 P 2.47
P  0.5000  0.5000  0.2297  2 Co 2.26, 2 Mo 2.47
P  0.5000  0.5000  0.7703  2 Co 2.26, 2 Mo 2.47

Density functional theory data (PBE) for crystalline CoMo2P at its relaxed geometry.

Values from the calculation:
Calculated formation energy, eV per atom: 0.24
Symmetry: I-42d (122)
Total energy, eV/atom: -8.31

a b c (Å): 5.3508 5.3508 5.3508
angles (deg): 104.49 104.49 119.97
Closest atoms and distances in Å follow each position.
Positions (direct):
Co  0.0000  0.0000  0.0000  4 Mo 2.45, 2 P 2.68
Co  0.7500  0.2500  0.5000  4 Mo 2.45, 2 P 2.68
Mo  0.1338  0.6250  0.0088  2 P 2.37, 2 Co 2.45
Mo  0.3750  0.3838  0.5088  2 P 2.37, 2 Co 2.45
Mo  0.6162  0.1250  0.9912  2 P 2.37, 2 Co 2.45
Mo  0.8750  0.8662  0.4912  2 P 2.37, 2 Co 2.45
P  0.2500  0.7500  0.5000  4 Mo 2.37
P  0.5000  0.5000  0.0000  4 Mo 2.37

Density functional theory data (PBE) for crystalline CoMo2P2 at its relaxed geometry.

Values from the calculation:
Calculated formation energy, eV per atom: -0.31
Symmetry: P4/mbm (127)
Total energy, eV/atom: -8.23

a b c (Å): 5.7767 5.7767 3.8495
angles (deg): 90.00 90.00 90.00
Closest atoms and distances in Å follow each position.
Positions (direct):
Co  0.0000  0.0000  0.0000  4 P 2.24
Co  0.5000  0.5000  0.0000  4 P 2.24
Mo  0.1782  0.3218  0.5000  6 P 2.44-2.67
Mo  0.3218  0.8218  0.5000  6 P 2.44-2.67
Mo  0.6782  0.1782  0.5000  6 P 2.44-2.67
Mo  0.8218  0.6782  0.5000  6 P 2.44-2.67
P  0.1387  0.6387  0.0000  2 Co 2.24, 1 P 2.27, 2 Mo 2.44
P  0.3613  0.1387  0.0000  2 Co 2.24, 1 P 2.27, 2 Mo 2.44
P  0.6387  0.8613  0.0000  2 Co 2.24, 1 P 2.27, 2 Mo 2.44
P  0.8613  0.3613  0.0000  2 Co 2.24, 1 P 2.27, 2 Mo 2.44

Density functional theory data (PBE) for crystalline CoMo2P at its relaxed geometry.

Values from the calculation:
Calculated formation energy, eV per atom: -0.11
Symmetry: P4mm (99)
Total energy, eV/atom: -8.65

a b c (Å): 3.1755 3.1755 5.4177
angles (deg): 90.00 90.00 90.00
Closest atoms and distances in Å follow each position.
Positions (direct):
Co  0.0000  0.0000  0.0000  5 Mo 2.48-2.56, 4 P 2.65
Mo  0.0000  0.0000  0.5271  4 P 2.52, 1 Co 2.56
Mo  0.5000  0.5000  0.1948  1 P 2.47, 4 Co 2.48
P  0.5000  0.5000  0.7392  5 Mo 2.47-2.52, 4 Co 2.65

Density functional theory data (PBE) for crystalline CoMo2P at its relaxed geometry.

Values from the calculation:
Calculated formation energy, eV per atom: 0.12
Symmetry: R3m (160)
Total energy, eV/atom: -8.43

a b c (Å): 8.4100 8.4100 8.4100
angles (deg): 18.96 18.96 18.96
Closest atoms and distances in Å follow each position.
Positions (direct):
Co  0.0000  0.0000  0.0000  3 P 2.28
Mo  0.5185  0.5185  0.5185  3 P 2.60, 9 Mo 2.77-2.90
Mo  0.7540  0.7540  0.7540  3 Co 2.69, 9 Mo 2.77-2.90
P  0.2677  0.2677  0.2677  3 Co 2.28

Density functional theory data (PBE) for crystalline CoMoP2 at its relaxed geometry.

Values from the calculation:
Calculated formation energy, eV per atom: 0.01
Symmetry: P4mm (99)
Total energy, eV/atom: -7.18

a b c (Å): 2.7547 2.7547 7.7568
angles (deg): 90.00 90.00 90.00
Closest atoms and distances in Å follow each position.
Positions (direct):
Co  0.0000  0.0000  0.0000  4 P 2.31
Mo  0.5000  0.5000  0.2395  4 P 2.62, 4 Co 2.69, 4 Mo 2.75
P  0.0000  0.0000  0.4646  4 Mo 2.62, 4 P 2.75
P  0.5000  0.5000  0.8410  4 Co 2.31

Density functional theory data (PBE) for crystalline CoMo2P at its relaxed geometry.

Values from the calculation:
Calculated formation energy, eV per atom: 0.16
Symmetry: R-3m (166)
Total energy, eV/atom: -8.38

a b c (Å): 8.1512 8.1512 8.1512
angles (deg): 20.07 20.07 20.07
Closest atoms and distances in Å follow each position.
Positions (direct):
Co  0.0000  0.0000  0.0000  6 Mo 2.64, 6 Co 2.84
Mo  0.2468  0.2468  0.2468  3 P 2.53, 3 Co 2.64
Mo  0.7532  0.7532  0.7532  3 P 2.53, 3 Co 2.64
P  0.5000  0.5000  0.5000  6 Mo 2.53

Density functional theory data (PBE) for crystalline CoMoP at its relaxed geometry.

Values from the calculation:
Calculated formation energy, eV per atom: -0.62
Symmetry: Pnma (62)
Total energy, eV/atom: -8.40

a b c (Å): 5.8139 3.7408 6.7297
angles (deg): 90.00 90.00 90.00
Closest atoms and distances in Å follow each position.
Positions (direct):
Co  0.1403  0.2500  0.0673  4 P 2.20-2.32
Co  0.3597  0.7500  0.5673  4 P 2.20-2.32
Co  0.6403  0.2500  0.4327  4 P 2.20-2.32
Co  0.8597  0.7500  0.9327  4 P 2.20-2.32
Mo  0.0321  0.2500  0.6697  5 P 2.38-2.62
Mo  0.4679  0.7500  0.1697  5 P 2.38-2.62
Mo  0.5321  0.2500  0.8303  5 P 2.38-2.62
Mo  0.9679  0.7500  0.3303  5 P 2.38-2.62
P  0.2332  0.7500  0.8806  4 Co 2.20-2.32, 1 Mo 2.38
P  0.2668  0.2500  0.3806  4 Co 2.20-2.32, 1 Mo 2.38
P  0.7332  0.7500  0.6194  4 Co 2.20-2.32, 1 Mo 2.38
P  0.7668  0.2500  0.1194  4 Co 2.20-2.32, 1 Mo 2.38